An optimized crystal structure of InSi2Au, computed with PBE.

For the mass density, the calculation gives 7.3 Mg/m³. As for the formation energy without anion corrections: 0.63 eV per formula unit. As for the crystal system: orthorhombic.

It has space group Pmm2 (No. 25), with a = 3.220 Å, b = 3.428 Å, c = 7.582 Å, α = 90.00°, β = 90.00° and γ = 90.00°. Symmetry generates all atoms from In at (0.000, 0.000, 0.000), Si at (0.000, 0.000, 0.649), Si at (0.500, 0.500, 0.541) and Au at (0.500, 0.500, 0.218).

An optimized crystal structure of CsCdBiPb2, computed with PBE.

For the mass density, the calculation gives 7.7 Mg/m³. The calculation puts the energy of formation at -137 meV/atom. As for the crystal system: orthorhombic.

It has space group Imm2 (No. 44), with a = 5.300 Å, b = 5.545 Å, c = 12.734 Å, α = 90.00°, β = 90.00° and γ = 90.00°. Symmetry generates all atoms from Cs at (0.000, 0.000, 0.000), Cd at (0.000, 0.000, 0.376), Bi at (0.000, 0.500, 0.750), Pb at (0.000, 0.000, 0.616) and Pb at (0.000, 0.500, 0.258).

An optimized crystal structure of Zr3BeAu, computed with PBE.

For the mass density, the calculation gives 7.8 Mg/m³. The calculation puts the energy of formation at 148 meV/atom. For the energy above the most stable polymorph in this dataset, the calculation gives 0 meV per atom. As for the crystal system: cubic.

It has space group Pm-3m (No. 221), with a = 4.676 Å, b = 4.676 Å, c = 4.676 Å, α = 90.00°, β = 90.00° and γ = 90.00°. Symmetry generates all atoms from Zr at (0.000, 0.000, 0.500), Be at (0.000, 0.000, 0.000) and Au at (0.500, 0.500, 0.500).

no.,Fermi-level density of states (states/eV per cell)
1,1.53
2,3.81
3,5.30